i:
A geometry-optimized LiCa2BeGa structure. Source: the Alexandria database, functional PBE.

Results
The crystal system is tetragonal.

```
data_LiCa2BeGa
_chemical_formula_sum 'Li1 Ca2 Be1 Ga1'
_cell_length_a 5.458
_cell_length_b 5.458
_cell_length_c 4.257
_cell_angle_alpha 90.00
_cell_angle_beta 90.00
_cell_angle_gamma 90.00
_space_group_name_H-M_alt 'P 4/m m m'
_space_group_IT_number 123
_space_group_name_Hall '-P 4 2'
loop_
_atom_site_label
_atom_site_type_symbol
_atom_site_fract_x
_atom_site_fract_y
_atom_site_fract_z
_atom_site_occupancy
Li1 Li 0.000 0.000 0.000 1
Ca1 Ca 0.000 0.500 0.000 1
Be1 Be 0.000 0.000 0.500 1
Ga1 Ga 0.500 0.500 0.500 1
```

=====

ii:
A geometry-optimized LiCa2BeGa structure. Source: the Alexandria database, functional PBE.

Results
The crystal system is tetragonal.

```
data_LiCa2BeGa
_chemical_formula_sum 'Li1 Ca2 Be1 Ga1'
_cell_length_a 5.587
_cell_length_b 5.587
_cell_length_c 4.229
_cell_angle_alpha 90.00
_cell_angle_beta 90.00
_cell_angle_gamma 90.00
_space_group_name_H-M_alt 'P 4/m m m'
_space_group_IT_number 123
_space_group_name_Hall '-P 4 2'
loop_
_atom_site_label
_atom_site_type_symbol
_atom_site_fract_x
_atom_site_fract_y
_atom_site_fract_z
_atom_site_occupancy
Li1 Li 0.000 0.000 0.000 1
Ca1 Ca 0.000 0.500 0.500 1
Be1 Be 0.500 0.500 0.500 1
Ga1 Ga 0.500 0.500 0.000 1
```

=====

Most stable = ii

=====

i:
A geometry-optimized Ca3Be2Ge4 structure. Source: the Alexandria database, functional PBE.

Results
The crystal system is monoclinic.

```
data_Ca3Be2Ge4
_chemical_formula_sum 'Ca6 Be4 Ge8'
_cell_length_a 11.200
_cell_length_b 4.029
_cell_length_c 8.199
_cell_angle_alpha 90.00
_cell_angle_beta 96.40
_cell_angle_gamma 90.00
_space_group_name_H-M_alt 'C 1 2/m 1'
_space_group_IT_number 12
loop_
_space_group_symop_operation_xyz
'x,y,z'
'-x,-y,-z'
'-x,y,-z'
'x,-y,z'
'x+1/2,y+1/2,z'
'-x+1/2,-y+1/2,-z'
'-x+1/2,y+1/2,-z'
'x+1/2,-y+1/2,z'
loop_
_atom_site_label
_atom_site_type_symbol
_atom_site_fract_x
_atom_site_fract_y
_atom_site_fract_z
_atom_site_occupancy
Ca1 Ca 0.000 0.000 0.000 1
Ca2 Ca 0.160 0.500 0.664 1
Be1 Be 0.111 0.500 0.286 1
Ge1 Ge 0.063 0.000 0.380 1
Ge2 Ge 0.213 0.500 0.069 1
```

=====

ii:
A geometry-optimized Ca3Be2Ge4 structure. Source: the Alexandria database, functional PBE.

Results
The crystal system is monoclinic.

```
data_Ca3Be2Ge4
_chemical_formula_sum 'Ca6 Be4 Ge8'
_cell_length_a 10.922
_cell_length_b 4.104
_cell_length_c 8.053
_cell_angle_alpha 90.00
_cell_angle_beta 102.40
_cell_angle_gamma 90.00
_space_group_name_H-M_alt 'C 1 2/m 1'
_space_group_IT_number 12
loop_
_space_group_symop_operation_xyz
'x,y,z'
'-x,-y,-z'
'-x,y,-z'
'x,-y,z'
'x+1/2,y+1/2,z'
'-x+1/2,-y+1/2,-z'
'-x+1/2,y+1/2,-z'
'x+1/2,-y+1/2,z'
loop_
_atom_site_label
_atom_site_type_symbol
_atom_site_fract_x
_atom_site_fract_y
_atom_site_fract_z
_atom_site_occupancy
Ca1 Ca 0.000 0.000 0.000 1
Ca2 Ca 0.111 0.500 0.699 1
Be1 Be 0.204 0.500 0.379 1
Ge1 Ge 0.096 0.000 0.401 1
Ge2 Ge 0.211 0.500 0.080 1
```

=====

Most stable = i

=====

i:
A geometry-optimized Ca2BeGe2 structure. Source: the Alexandria database, functional PBE.

Results
The crystal system is tetragonal.

```
data_Ca2BeGe2
_chemical_formula_sum 'Ca4 Be2 Ge4'
_cell_length_a 3.740
_cell_length_b 3.740
_cell_length_c 17.368
_cell_angle_alpha 90.00
_cell_angle_beta 90.00
_cell_angle_gamma 90.00
_space_group_name_H-M_alt 'I 4/m m m'
_space_group_IT_number 139
_space_group_name_Hall '-I 4 2'
loop_
_atom_site_label
_atom_site_type_symbol
_atom_site_fract_x
_atom_site_fract_y
_atom_site_fract_z
_atom_site_occupancy
Ca1 Ca 0.000 0.000 0.102 1
Be1 Be 0.000 0.000 0.500 1
Ge1 Ge 0.000 0.500 0.250 1
```

=====

ii:
A geometry-optimized Ca2BeGe2 structure. Source: the Alexandria database, functional PBE.

Results
The crystal system is tetragonal.

```
data_Ca2BeGe2
_chemical_formula_sum 'Ca4 Be2 Ge4'
_cell_length_a 8.091
_cell_length_b 8.091
_cell_length_c 3.880
_cell_angle_alpha 90.00
_cell_angle_beta 90.00
_cell_angle_gamma 90.00
_space_group_name_H-M_alt 'P 4/m b m'
_space_group_IT_number 127
_space_group_name_Hall '-P 4 2ab'
loop_
_atom_site_label
_atom_site_type_symbol
_atom_site_fract_x
_atom_site_fract_y
_atom_site_fract_z
_atom_site_occupancy
Ca1 Ca 0.187 0.313 0.000 1
Be1 Be 0.000 0.000 0.000 1
Ge1 Ge 0.108 0.608 0.500 1
```

=====

Most stable = i

=====

i:
A geometry-optimized CaBeGe3 structure. Source: the Alexandria database, functional PBE.

Results
The crystal system is cubic.

```
data_CaBeGe3
_chemical_formula_sum 'Ca1 Be1 Ge3'
_cell_length_a 4.635
_cell_length_b 4.635
_cell_length_c 4.635
_cell_angle_alpha 90.00
_cell_angle_beta 90.00
_cell_angle_gamma 90.00
_space_group_name_H-M_alt 'P m -3 m'
_space_group_IT_number 221
_space_group_name_Hall '-P 4 2 3'
loop_
_atom_site_label
_atom_site_type_symbol
_atom_site_fract_x
_atom_site_fract_y
_atom_site_fract_z
_atom_site_occupancy
Ca1 Ca 0.000 0.000 0.000 1
Be1 Be 0.500 0.500 0.500 1
Ge1 Ge 0.000 0.500 0.500 1
```

=====

ii:
A geometry-optimized CaBeGe3 structure. Source: the Alexandria database, functional PBE.

Results
The crystal system is cubic.

```
data_CaBeGe3
_chemical_formula_sum 'Ca1 Be1 Ge3'
_cell_length_a 5.395
_cell_length_b 5.395
_cell_length_c 5.395
_cell_angle_alpha 90.00
_cell_angle_beta 90.00
_cell_angle_gamma 90.00
_space_group_name_H-M_alt 'P m -3 m'
_space_group_IT_number 221
_space_group_name_Hall '-P 4 2 3'
loop_
_atom_site_label
_atom_site_type_symbol
_atom_site_fract_x
_atom_site_fract_y
_atom_site_fract_z
_atom_site_occupancy
Ca1 Ca 0.000 0.000 0.000 1
Be1 Be 0.500 0.500 0.500 1
Ge1 Ge 0.000 0.000 0.500 1
```

=====

Most stable = i

=====

i:
A geometry-optimized CaBeH3 structure. Source: the Alexandria database, functional PBE.

Results
The crystal system is cubic.

```
data_CaBeH3
_chemical_formula_sum 'Ca1 Be1 H3'
_cell_length_a 3.519
_cell_length_b 3.519
_cell_length_c 3.519
_cell_angle_alpha 90.00
_cell_angle_beta 90.00
_cell_angle_gamma 90.00
_space_group_name_H-M_alt 'P m -3 m'
_space_group_IT_number 221
_space_group_name_Hall '-P 4 2 3'
loop_
_atom_site_label
_atom_site_type_symbol
_atom_site_fract_x
_atom_site_fract_y
_atom_site_fract_z
_atom_site_occupancy
Ca1 Ca 0.000 0.000 0.000 1
Be1 Be 0.500 0.500 0.500 1
H1 H 0.000 0.500 0.500 1
```

=====

ii:
A geometry-optimized CaBeH3 structure. Source: the Alexandria database, functional PBE.

Results
The crystal system is cubic.

```
data_CaBeH3
_chemical_formula_sum 'Ca1 Be1 H3'
_cell_length_a 4.081
_cell_length_b 4.081
_cell_length_c 4.081
_cell_angle_alpha 90.00
_cell_angle_beta 90.00
_cell_angle_gamma 90.00
_space_group_name_H-M_alt 'P m -3 m'
_space_group_IT_number 221
_space_group_name_Hall '-P 4 2 3'
loop_
_atom_site_label
_atom_site_type_symbol
_atom_site_fract_x
_atom_site_fract_y
_atom_site_fract_z
_atom_site_occupancy
Ca1 Ca 0.000 0.000 0.000 1
Be1 Be 0.500 0.500 0.500 1
H1 H 0.000 0.000 0.500 1
```

=====

Most stable = i

=====

i:
A geometry-optimized CaBe2H structure. Source: the Alexandria database, functional PBE.

Results
The crystal system is cubic.

```
data_CaBe2H
_chemical_formula_sum 'Ca4 Be8 H4'
_cell_length_a 6.281
_cell_length_b 6.281
_cell_length_c 6.281
_cell_angle_alpha 90.00
_cell_angle_beta 90.00
_cell_angle_gamma 90.00
_space_group_name_H-M_alt 'F m -3 m'
_space_group_IT_number 225
_space_group_name_Hall '-F 4 2 3'
loop_
_atom_site_label
_atom_site_type_symbol
_atom_site_fract_x
_atom_site_fract_y
_atom_site_fract_z
_atom_site_occupancy
Ca1 Ca 0.000 0.000 0.000 1
Be1 Be 0.250 0.250 0.250 1
H1 H 0.000 0.000 0.500 1
```

=====

ii:
A geometry-optimized CaBe2H structure. Source: the Alexandria database, functional PBE.

Results
The crystal system is tetragonal.

```
data_CaBe2H
_chemical_formula_sum 'Ca4 Be8 H4'
_cell_length_a 5.241
_cell_length_b 5.241
_cell_length_c 7.404
_cell_angle_alpha 90.00
_cell_angle_beta 90.00
_cell_angle_gamma 90.00
_space_group_name_H-M_alt 'I 41/a m d'
_space_group_IT_number 141
loop_
_space_group_symop_operation_xyz
'x,y,z'
'-x,-y,-z'
'-y+1/4,x+3/4,z+1/4'
'y+1/4,-x+3/4,-z+1/4'
'-x+1/2,-y,z+1/2'
'x+1/2,y,-z+1/2'
'y+1/4,-x+1/4,z+3/4'
'-y+1/4,x+1/4,-z+3/4'
'x,-y,-z'
'-x,y,z'
'-y+1/4,-x+1/4,-z+3/4'
'y+1/4,x+1/4,z+3/4'
'-x+1/2,y,-z+1/2'
'x+1/2,-y,z+1/2'
'y+1/4,x+3/4,-z+1/4'
'-y+1/4,-x+3/4,z+1/4'
'x+1/2,y+1/2,z+1/2'
'-x+1/2,-y+1/2,-z+1/2'
'-y+3/4,x+1/4,z+3/4'
'y+3/4,-x+1/4,-z+3/4'
'-x,-y+1/2,z'
'x,y+1/2,-z'
'y+3/4,-x+3/4,z+1/4'
'-y+3/4,x+3/4,-z+1/4'
'x+1/2,-y+1/2,-z+1/2'
'-x+1/2,y+1/2,z+1/2'
'-y+3/4,-x+3/4,-z+1/4'
'y+3/4,x+3/4,z+1/4'
'-x,y+1/2,-z'
'x,-y+1/2,z'
'y+3/4,x+1/4,-z+3/4'
'-y+3/4,-x+1/4,z+3/4'
loop_
_atom_site_label
_atom_site_type_symbol
_atom_site_fract_x
_atom_site_fract_y
_atom_site_fract_z
_atom_site_occupancy
Ca1 Ca 0.000 0.250 0.375 1
Be1 Be 0.000 0.000 0.000 1
H1 H 0.000 0.250 0.875 1
```

=====

Most stable = ii